Density functional theory data (PBE+U) for an optimized crystal structure of V2Sb2O7.

Properties
Magnetization, μB/atom: 0.18
DOS at the Fermi energy, states/eV/cell: 1.88
Electronic total energy, eV per atom: -6.7992

abc: 5.7951 8.4136 7.1701
angles: 90.00 94.74 90.00
Closest atoms and distances in Å follow each position.
Space group C2/m (No. 12)
Asymmetric unit:
V (0.0000, 0.1737, 0.0000) (multiplicity 4)  6 O 1.90-2.07
Sb (0.2320, 0.0000, 0.6579) (multiplicity 4)  3 O 2.00-2.05
O (0.0000, 0.5000, 0.5000) (multiplicity 2)  2 Sb 2.00
O (0.0915, 0.0000, 0.1592) (multiplicity 4)  2 V 1.90
O (0.2064, 0.3248, 0.1457) (multiplicity 8)  2 V 1.98-2.07, 1 Sb 2.05